(1)
# Ti2Nb

Ti2Nb after structural relaxation (PBE, Alexandria via LeMat-Bulk).

## Properties
- raw total energy (eV per atom) = -8.5702
- mass density (Mg/m³) = 5.99

a = 3.443 Å, b = 3.443 Å, c = 8.830 Å
α = 90.00°, β = 90.00°, γ = 90.00°
Atoms (fractional coordinates):
Ti: 0.000 0.000 0.162
Ti: 0.000 0.000 0.838
Ti: 0.500 0.500 0.338
Ti: 0.500 0.500 0.662
Nb: 0.000 0.000 0.500
Nb: 0.500 0.500 0.000

=====

(2)
# Ti3Nb

Ti3Nb after structural relaxation (PBE, Alexandria via LeMat-Bulk).

## Properties
- raw total energy (eV per atom) = -8.4017
- mass density (Mg/m³) = 5.62

a = 7.291 Å, b = 8.635 Å, c = 4.444 Å
α = 90.00°, β = 90.00°, γ = 90.00°
Atoms (fractional coordinates):
Ti: 0.000 0.111 0.250
Ti: 0.000 0.889 0.750
Ti: 0.221 0.386 0.250
Ti: 0.221 0.614 0.750
Ti: 0.279 0.114 0.750
Ti: 0.279 0.886 0.250
Ti: 0.500 0.389 0.750
Ti: 0.500 0.611 0.250
Ti: 0.721 0.114 0.750
Ti: 0.721 0.886 0.250
Ti: 0.779 0.386 0.250
Ti: 0.779 0.614 0.750
Nb: 0.000 0.335 0.750
Nb: 0.000 0.665 0.250
Nb: 0.500 0.165 0.250
Nb: 0.500 0.835 0.750

=====

(3)
# Ti2NbTl2

Ti2NbTl2 after structural relaxation (PBE, Alexandria via LeMat-Bulk).

## Properties
- raw total energy (eV per atom) = -5.7834
- energy above the lowest structure with this stoichiometry (kJ/mol of formula units) = 0
- mass density (Mg/m³) = 9.83

a = 7.610 Å, b = 7.610 Å, c = 3.484 Å
α = 90.00°, β = 90.00°, γ = 90.00°
Atoms (fractional coordinates):
Ti: 0.170 0.330 0.000
Ti: 0.330 0.830 0.000
Ti: 0.670 0.170 0.000
Ti: 0.830 0.670 0.000
Nb: 0.000 0.000 0.500
Nb: 0.500 0.500 0.500
Tl: 0.135 0.635 0.500
Tl: 0.365 0.135 0.500
Tl: 0.635 0.865 0.500
Tl: 0.865 0.365 0.500

=====

(4)
# Ti2Nb2Tl

Ti2Nb2Tl after structural relaxation (PBE, Alexandria via LeMat-Bulk).

## Properties
- raw total energy (eV per atom) = -7.4649
- energy above the lowest structure with this stoichiometry (kJ/mol of formula units) = 0
- mass density (Mg/m³) = 8.57

a = 7.279 Å, b = 7.279 Å, c = 3.552 Å
α = 90.00°, β = 90.00°, γ = 90.00°
Atoms (fractional coordinates):
Ti: 0.128 0.372 0.000
Ti: 0.372 0.872 0.000
Ti: 0.628 0.128 0.000
Ti: 0.872 0.628 0.000
Nb: 0.170 0.670 0.500
Nb: 0.330 0.170 0.500
Nb: 0.670 0.830 0.500
Nb: 0.830 0.330 0.500
Tl: 0.000 0.000 0.000
Tl: 0.500 0.500 0.000

=====

(5)
# TiNb3Tl

TiNb3Tl after structural relaxation (PBE, Alexandria via LeMat-Bulk).

## Properties
- raw total energy (eV per atom) = -7.0166
- energy above the lowest structure with this stoichiometry (kJ/mol of formula units) = 0
- mass density (Mg/m³) = 8.22

a = 4.751 Å, b = 4.751 Å, c = 4.751 Å
α = 90.00°, β = 90.00°, γ = 90.00°
Atoms (fractional coordinates):
Ti: 0.000 0.000 0.000
Nb: 0.000 0.000 0.500
Nb: 0.000 0.500 0.000
Nb: 0.500 0.000 0.000
Tl: 0.500 0.500 0.500

=====

(6)
# Ti3NbTl

Ti3NbTl after structural relaxation (PBE, Alexandria via LeMat-Bulk).

## Properties
- raw total energy (eV per atom) = -7.1955
- energy above the lowest structure with this stoichiometry (kJ/mol of formula units) = 0
- mass density (Mg/m³) = 7.89

a = 7.233 Å, b = 3.478 Å, c = 7.381 Å
α = 90.00°, β = 90.42°, γ = 90.00°
Atoms (fractional coordinates):
Ti: 0.135 0.250 0.056
Ti: 0.218 0.750 0.756
Ti: 0.336 0.250 0.476
Ti: 0.664 0.750 0.524
Ti: 0.782 0.250 0.244
Ti: 0.865 0.750 0.944
Nb: 0.057 0.750 0.354
Nb: 0.943 0.250 0.646
Tl: 0.452 0.750 0.170
Tl: 0.548 0.250 0.830

=====

(7)
# Ti3NbTl

Ti3NbTl after structural relaxation (PBE, Alexandria via LeMat-Bulk).

## Properties
- raw total energy (eV per atom) = -6.3433
- energy above the lowest structure with this stoichiometry (kJ/mol of formula units) = 411
- mass density (Mg/m³) = 6.48

a = 4.835 Å, b = 4.835 Å, c = 4.835 Å
α = 90.00°, β = 90.00°, γ = 90.00°
Atoms (fractional coordinates):
Ti: 0.000 0.000 0.500
Ti: 0.000 0.500 0.000
Ti: 0.500 0.000 0.000
Nb: 0.000 0.000 0.000
Tl: 0.500 0.500 0.500

=====

(8)
# Ti15Nb2Tl2

Ti15Nb2Tl2 after structural relaxation (PBE, Alexandria via LeMat-Bulk).

## Properties
- raw total energy (eV per atom) = -7.1982
- mass density (Mg/m³) = 6.21

a = 7.161 Å, b = 7.161 Å, c = 7.161 Å
α = 79.53°, β = 79.53°, γ = 79.53°
Atoms (fractional coordinates):
Ti: 0.000 0.000 0.500
Ti: 0.000 0.297 0.703
Ti: 0.000 0.500 0.000
Ti: 0.000 0.703 0.297
Ti: 0.170 0.625 0.625
Ti: 0.297 0.000 0.703
Ti: 0.297 0.703 0.000
Ti: 0.375 0.375 0.830
Ti: 0.375 0.830 0.375
Ti: 0.500 0.000 0.000
Ti: 0.625 0.170 0.625
Ti: 0.625 0.625 0.170
Ti: 0.703 0.000 0.297
Ti: 0.703 0.297 0.000
Ti: 0.830 0.375 0.375
Nb: 0.092 0.092 0.092
Nb: 0.908 0.908 0.908
Tl: 0.311 0.311 0.311
Tl: 0.689 0.689 0.689

=====

(9)
# Ti3NbTl

Ti3NbTl after structural relaxation (PBE, Alexandria via LeMat-Bulk).

## Properties
- raw total energy (eV per atom) = -7.1734
- energy above the lowest structure with this stoichiometry (kJ/mol of formula units) = 11
- mass density (Mg/m³) = 7.82

a = 5.764 Å, b = 5.764 Å, c = 9.795 Å
α = 92.68°, β = 92.68°, γ = 35.17°
Atoms (fractional coordinates):
Ti: 0.044 0.044 0.138
Ti: 0.246 0.246 0.769
Ti: 0.437 0.437 0.330
Ti: 0.563 0.563 0.670
Ti: 0.754 0.754 0.231
Ti: 0.956 0.956 0.862
Nb: 0.353 0.353 0.050
Nb: 0.647 0.647 0.950
Tl: 0.142 0.142 0.440
Tl: 0.858 0.858 0.560

=====

(10)
# TiNbTl

TiNbTl after structural relaxation (PBE, Alexandria via LeMat-Bulk).

## Properties
- raw total energy (eV per atom) = -6.6229
- energy above the lowest structure with this stoichiometry (kJ/mol of formula units) = 0
- mass density (Mg/m³) = 9.86

a = 3.482 Å, b = 3.482 Å, c = 9.589 Å
α = 90.00°, β = 90.00°, γ = 90.00°
Atoms (fractional coordinates):
Ti: 0.000 0.000 0.000
Ti: 0.500 0.500 0.500
Nb: 0.000 0.000 0.643
Nb: 0.500 0.500 0.143
Tl: 0.000 0.000 0.323
Tl: 0.500 0.500 0.823

=====

(11)
# Ti2Nb2Tl

Ti2Nb2Tl after structural relaxation (PBE, Alexandria via LeMat-Bulk).

## Properties
- raw total energy (eV per atom) = -7.4006
- energy above the lowest structure with this stoichiometry (kJ/mol of formula units) = 31
- mass density (Mg/m³) = 8.26

a = 7.411 Å, b = 7.411 Å, c = 3.555 Å
α = 90.00°, β = 90.00°, γ = 90.00°
Atoms (fractional coordinates):
Ti: 0.170 0.330 0.000
Ti: 0.330 0.830 0.000
Ti: 0.670 0.170 0.000
Ti: 0.830 0.670 0.000
Nb: 0.125 0.625 0.500
Nb: 0.375 0.125 0.500
Nb: 0.625 0.875 0.500
Nb: 0.875 0.375 0.500
Tl: 0.000 0.000 0.500
Tl: 0.500 0.500 0.500

=====

(12)
# TiNbTl

TiNbTl after structural relaxation (PBE, Alexandria via LeMat-Bulk).

## Properties
- raw total energy (eV per atom) = -6.5521
- energy above the lowest structure with this stoichiometry (kJ/mol of formula units) = 20
- mass density (Mg/m³) = 9.22

a = 3.037 Å, b = 3.037 Å, c = 14.129 Å
α = 94.60°, β = 94.26°, γ = 105.89°
Atoms (fractional coordinates):
Ti: 0.171 0.255 0.427
Ti: 0.829 0.745 0.573
Nb: 0.331 0.386 0.716
Nb: 0.669 0.614 0.284
Tl: 0.008 0.099 0.108
Tl: 0.992 0.901 0.892

=====

(13)
# Ti2NbTl2

Ti2NbTl2 after structural relaxation (PBE, Alexandria via LeMat-Bulk).

## Properties
- raw total energy (eV per atom) = -5.6357
- energy above the lowest structure with this stoichiometry (kJ/mol of formula units) = 71
- mass density (Mg/m³) = 9.64

a = 3.830 Å, b = 3.830 Å, c = 14.039 Å
α = 90.00°, β = 90.00°, γ = 90.00°
Atoms (fractional coordinates):
Ti: 0.000 0.500 0.250
Ti: 0.000 0.500 0.750
Ti: 0.500 0.000 0.250
Ti: 0.500 0.000 0.750
Nb: 0.000 0.000 0.000
Nb: 0.500 0.500 0.500
Tl: 0.000 0.000 0.400
Tl: 0.000 0.000 0.600
Tl: 0.500 0.500 0.100
Tl: 0.500 0.500 0.900

=====

(14)
# Ti5NbTl2

Ti5NbTl2 after structural relaxation (PBE, Alexandria via LeMat-Bulk).

## Properties
- raw total energy (eV per atom) = -6.7801
- mass density (Mg/m³) = 8.24

a = 4.798 Å, b = 4.798 Å, c = 12.968 Å
α = 90.00°, β = 90.00°, γ = 90.00°
Atoms (fractional coordinates):
Ti: 0.000 0.000 0.000
Ti: 0.000 0.500 0.112
Ti: 0.000 0.500 0.388
Ti: 0.000 0.500 0.612
Ti: 0.000 0.500 0.888
Ti: 0.500 0.000 0.112
Ti: 0.500 0.000 0.388
Ti: 0.500 0.000 0.612
Ti: 0.500 0.000 0.888
Ti: 0.500 0.500 0.500
Nb: 0.000 0.000 0.500
Nb: 0.500 0.500 0.000
Tl: 0.000 0.000 0.249
Tl: 0.000 0.000 0.751
Tl: 0.500 0.500 0.251
Tl: 0.500 0.500 0.749

=====

(15)
# TmTiNb

TmTiNb after structural relaxation (PBE, Alexandria via LeMat-Bulk).

## Properties
- raw total energy (eV per atom) = -7.3645
- mass density (Mg/m³) = 7.95

a = 3.515 Å, b = 3.515 Å, c = 10.464 Å
α = 90.00°, β = 90.00°, γ = 90.00°
Atoms (fractional coordinates):
Tm: 0.000 0.000 0.000
Tm: 0.500 0.500 0.500
Ti: 0.000 0.000 0.299
Ti: 0.500 0.500 0.799
Nb: 0.000 0.000 0.698
Nb: 0.500 0.500 0.198

=====

(16)
# UTiNb

UTiNb after structural relaxation (PBE, Alexandria via LeMat-Bulk).

## Properties
- raw total energy (eV per atom) = -9.4589
- energy above the lowest structure with this stoichiometry (kJ/mol of formula units) = 52
- mass density (Mg/m³) = 11.20

a = 5.294 Å, b = 2.777 Å, c = 7.640 Å
α = 90.00°, β = 90.00°, γ = 90.00°
Atoms (fractional coordinates):
U: 0.000 0.000 0.000
U: 0.500 0.000 0.000
Ti: 0.250 0.000 0.331
Ti: 0.750 0.000 0.669
Nb: 0.250 0.500 0.648
Nb: 0.750 0.500 0.352

=====

(17)
# UTiNb

UTiNb after structural relaxation (PBE, Alexandria via LeMat-Bulk).

## Properties
- raw total energy (eV per atom) = -9.6383
- energy above the lowest structure with this stoichiometry (kJ/mol of formula units) = 0
- mass density (Mg/m³) = 11.34

a = 4.682 Å, b = 4.682 Å, c = 2.921 Å
α = 90.00°, β = 90.00°, γ = 120.00°
Atoms (fractional coordinates):
U: 0.000 0.000 0.000
Ti: 0.333 0.667 0.400
Nb: 0.667 0.333 0.761

=====

(18)
# UTiNbW

UTiNbW after structural relaxation (PBE, Alexandria via LeMat-Bulk).

## Properties
- raw total energy (eV per atom) = -10.3643
- mass density (Mg/m³) = 12.95

a = 6.608 Å, b = 6.608 Å, c = 6.608 Å
α = 90.00°, β = 90.00°, γ = 90.00°
Atoms (fractional coordinates):
U: 0.000 0.000 0.000
U: 0.000 0.500 0.500
U: 0.500 0.000 0.500
U: 0.500 0.500 0.000
Ti: 0.250 0.250 0.250
Ti: 0.250 0.750 0.750
Ti: 0.750 0.250 0.750
Ti: 0.750 0.750 0.250
Nb: 0.000 0.000 0.500
Nb: 0.000 0.500 0.000
Nb: 0.500 0.000 0.000
Nb: 0.500 0.500 0.500
W: 0.250 0.250 0.750
W: 0.250 0.750 0.250
W: 0.750 0.250 0.250
W: 0.750 0.750 0.750

=====

(19)
# UTiNbZn

UTiNbZn after structural relaxation (PBE, Alexandria via LeMat-Bulk).

## Properties
- raw total energy (eV per atom) = -7.3910
- mass density (Mg/m³) = 10.39

a = 6.573 Å, b = 6.573 Å, c = 6.573 Å
α = 90.00°, β = 90.00°, γ = 90.00°
Atoms (fractional coordinates):
U: 0.000 0.000 0.000
U: 0.000 0.500 0.500
U: 0.500 0.000 0.500
U: 0.500 0.500 0.000
Ti: 0.250 0.250 0.750
Ti: 0.250 0.750 0.250
Ti: 0.750 0.250 0.250
Ti: 0.750 0.750 0.750
Nb: 0.250 0.250 0.250
Nb: 0.250 0.750 0.750
Nb: 0.750 0.250 0.750
Nb: 0.750 0.750 0.250
Zn: 0.000 0.000 0.500
Zn: 0.000 0.500 0.000
Zn: 0.500 0.000 0.000
Zn: 0.500 0.500 0.500

=====

(20)
# Ti3NbV

Ti3NbV after structural relaxation (PBE, Alexandria via LeMat-Bulk).

## Properties
- raw total energy (eV per atom) = -8.3890
- energy above the lowest structure with this stoichiometry (kJ/mol of formula units) = 0
- mass density (Mg/m³) = 5.66

a = 5.479 Å, b = 5.479 Å, c = 5.635 Å
α = 92.36°, β = 92.36°, γ = 86.78°
Atoms (fractional coordinates):
Ti: 0.023 0.977 0.500
Ti: 0.097 0.433 0.282
Ti: 0.433 0.097 0.782
Ti: 0.640 0.692 0.537
Ti: 0.692 0.640 0.037
Ti: 0.977 0.023 0.000
Nb: 0.231 0.567 0.769
Nb: 0.567 0.231 0.269
V: 0.329 0.826 0.212
V: 0.826 0.329 0.712